A plane-wave DFT calculation with PBE+U was carried out for a geometry-optimized Mo2PO2 structure.

Raw total energy (eV/f.u.): -30.42
E above lowest polymorph (meV per atom): 289
Magnetization (μB per formula unit): 5.7
Calculated volume (Å³/f.u.): 77.5

Cell: 7.0725 7.0725 3.0972 Å, 90.00 90.00 90.00°
Space group P4/mbm (No. 127)
Asymmetric unit:
Mo  0.2214  0.2786  0.0000 x4
P  0.0000  0.0000  0.0000 x2
O  0.1399  0.6399  0.5000 x4